Li2TcPt2 | PBE | relaxed

POSCAR file:
```
Li2TcPt2
1.0
7.335 0.000 0.000
0.000 7.335 0.000
0.000 0.000 2.653
Li Tc Pt
4 2 4
direct
0.118 0.382 0.000 Li
0.382 0.882 0.000 Li
0.618 0.118 0.000 Li
0.882 0.618 0.000 Li
0.000 0.000 0.500 Tc
0.500 0.500 0.500 Tc
0.181 0.681 0.500 Pt
0.319 0.181 0.500 Pt
0.681 0.819 0.500 Pt
0.819 0.319 0.500 Pt
```

## Properties
calculated formation energy = -78 meV per atom
total moment = 0.00 μB per cell
excess energy over the best structure of this formula in the dataset = 142 meV/atom

Y2SiB2Ir5 | PBE | relaxed

POSCAR file:
```
Y2SiB2Ir5
1.0
9.442 0.000 0.000
0.000 9.442 0.000
0.000 0.000 3.229
Y Si B Ir
4 2 4 10
direct
0.177 0.323 0.000 Y
0.323 0.823 0.000 Y
0.677 0.177 0.000 Y
0.823 0.677 0.000 Y
0.000 0.000 0.000 Si
0.500 0.500 0.000 Si
0.122 0.622 0.000 B
0.378 0.122 0.000 B
0.622 0.878 0.000 B
0.878 0.378 0.000 B
0.000 0.500 0.500 Ir
0.068 0.785 0.500 Ir
0.215 0.068 0.500 Ir
0.285 0.568 0.500 Ir
0.432 0.285 0.500 Ir
0.500 0.000 0.500 Ir
0.568 0.715 0.500 Ir
0.715 0.432 0.500 Ir
0.785 0.932 0.500 Ir
0.932 0.215 0.500 Ir
```

## Properties
total moment = 0.00 μB per cell

CaAc5Ni3 | PBE | relaxed

POSCAR file:
```
CaAc5Ni3
1.0
6.922 0.000 0.000
0.000 4.259 0.000
-0.375 0.000 21.138
Ca Ac Ni
2 10 6
direct
0.241 0.000 0.277 Ca
0.759 0.000 0.723 Ca
0.232 0.000 0.611 Ac
0.236 0.000 0.947 Ac
0.257 0.500 0.777 Ac
0.258 0.500 0.444 Ac
0.276 0.500 0.113 Ac
0.724 0.500 0.887 Ac
0.742 0.500 0.556 Ac
0.743 0.500 0.223 Ac
0.764 0.000 0.053 Ac
0.768 0.000 0.389 Ac
0.000 0.500 0.000 Ni
0.001 0.500 0.333 Ni
0.489 0.000 0.833 Ni
0.500 0.000 0.500 Ni
0.511 0.000 0.167 Ni
0.999 0.500 0.667 Ni
```

## Properties
calculated formation energy = -137 meV per atom
total moment = 0.00 μB per cell

Sc2Ga5Pd3 | PBE | relaxed

POSCAR file:
```
Sc2Ga5Pd3
1.0
-5.463 5.815 2.787
5.463 -5.815 2.787
5.463 5.815 -2.787
Sc Ga Pd
4 10 6
direct
0.242 0.130 0.372 Sc
0.258 0.630 0.888 Sc
0.742 0.370 0.112 Sc
0.758 0.870 0.628 Sc
0.145 0.882 0.027 Ga
0.250 0.002 0.752 Ga
0.250 0.498 0.248 Ga
0.250 0.750 0.500 Ga
0.355 0.382 0.738 Ga
0.645 0.618 0.262 Ga
0.750 0.250 0.500 Ga
0.750 0.502 0.752 Ga
0.750 0.998 0.248 Ga
0.855 0.118 0.973 Ga
0.146 0.378 0.524 Pd
0.250 0.250 0.000 Pd
0.354 0.878 0.233 Pd
0.646 0.122 0.767 Pd
0.750 0.750 0.000 Pd
0.854 0.622 0.476 Pd
```

## Properties
calculated formation energy = -608 meV per atom
total moment = 0.00 μB per cell
excess energy over the best structure of this formula in the dataset = 85 meV/atom

CaCe5Bi6 | PBE | relaxed

POSCAR file:
```
CaCe5Bi6
1.0
3.991 -6.910 0.000
3.991 6.910 0.000
-2.657 0.000 7.522
Ca Ce Bi
1 5 6
direct
0.000 0.000 0.000 Ca
0.166 0.834 0.500 Ce
0.333 0.667 0.000 Ce
0.500 0.500 0.500 Ce
0.667 0.333 0.000 Ce
0.834 0.166 0.500 Ce
0.084 0.420 0.251 Bi
0.253 0.253 0.749 Bi
0.420 0.084 0.251 Bi
0.580 0.916 0.749 Bi
0.747 0.747 0.251 Bi
0.916 0.580 0.749 Bi
```

## Properties
calculated formation energy = -794 meV per atom
total moment = 3.90 μB per cell

Ac2SiOs | PBE | relaxed

POSCAR file:
```
Ac2SiOs
1.0
5.119 0.000 0.000
0.000 5.119 0.000
0.000 0.000 4.039
Ac Si Os
2 1 1
direct
0.000 0.500 0.000 Ac
0.500 0.000 0.000 Ac
0.000 0.000 0.500 Si
0.500 0.500 0.500 Os
```

## Properties
total moment = 0.00 μB per cell

Ac4Tb3PrSe8 | PBE | relaxed

POSCAR file:
```
Ac4Tb3PrSe8
1.0
4.248 2.452 7.208
-4.248 2.452 7.208
0.000 -4.905 7.208
Ac Tb Pr Se
4 3 1 8
direct
0.000 0.000 0.000 Ac
0.000 0.500 0.500 Ac
0.500 0.000 0.500 Ac
0.500 0.500 0.000 Ac
0.000 0.000 0.500 Tb
0.000 0.500 0.000 Tb
0.500 0.000 0.000 Tb
0.500 0.500 0.500 Pr
0.235 0.746 0.746 Se
0.241 0.241 0.241 Se
0.254 0.254 0.765 Se
0.254 0.765 0.254 Se
0.746 0.235 0.746 Se
0.746 0.746 0.235 Se
0.759 0.759 0.759 Se
0.765 0.254 0.254 Se
```

## Properties
total moment = 0.00 μB per cell

Pm2TeS2 | PBE | relaxed

POSCAR file:
```
Pm2TeS2
1.0
4.343 0.000 0.000
0.000 5.473 0.000
0.000 0.000 14.014
Pm Te S
4 2 4
direct
0.000 0.000 0.165 Pm
0.000 0.000 0.835 Pm
0.500 0.500 0.335 Pm
0.500 0.500 0.665 Pm
0.000 0.500 0.500 Te
0.500 0.000 0.000 Te
0.000 0.500 0.208 S
0.000 0.500 0.792 S
0.500 0.000 0.292 S
0.500 0.000 0.708 S
```

## Properties
total moment = 0.00 μB per cell
excess energy over the best structure of this formula in the dataset = 0 meV/atom

K2YMo | PBE | relaxed

POSCAR file:
```
K2YMo
1.0
21.617 0.000 0.000
0.000 3.378 0.000
-0.993 0.000 4.569
K Y Mo
4 2 2
direct
0.154 0.000 0.152 K
0.346 0.500 0.848 K
0.654 0.500 0.152 K
0.846 0.000 0.848 K
0.000 0.000 0.500 Y
0.500 0.500 0.500 Y
0.000 0.500 0.000 Mo
0.500 0.000 0.000 Mo
```

## Properties
calculated formation energy = 818 meV per atom
total moment = 2.99 μB per cell
excess energy over the best structure of this formula in the dataset = 38 meV/atom

Tb2U2Se7 | PBE | relaxed

POSCAR file:
```
Tb2U2Se7
1.0
-2.021 7.429 4.481
2.021 -7.429 4.481
2.021 7.429 -4.481
Tb U Se
2 2 7
direct
0.241 0.000 0.241 Tb
0.759 0.000 0.759 Tb
0.309 0.809 0.500 U
0.761 0.761 0.000 U
0.018 0.700 0.318 Se
0.079 0.079 0.000 Se
0.375 0.483 0.892 Se
0.383 0.700 0.682 Se
0.591 0.483 0.108 Se
0.677 0.310 0.366 Se
0.944 0.310 0.634 Se
```

## Properties
total moment = 4.00 μB per cell

NbCoRu2 | PBE | relaxed

POSCAR file:
```
NbCoRu2
1.0
3.821 0.000 0.000
0.000 3.821 0.000
0.000 0.000 3.842
Nb Co Ru
1 1 2
direct
0.000 0.000 0.000 Nb
0.500 0.500 0.000 Co
0.000 0.500 0.500 Ru
0.500 0.000 0.500 Ru
```

## Properties
calculated formation energy = -130 meV per atom
total moment = 0.00 μB per cell

Sm2TmHf | PBE | relaxed

POSCAR file:
```
Sm2TmHf
1.0
4.904 0.000 0.000
0.000 4.904 0.000
0.000 0.000 4.826
Sm Tm Hf
2 1 1
direct
0.000 0.500 0.000 Sm
0.500 0.000 0.000 Sm
0.000 0.000 0.500 Tm
0.500 0.500 0.500 Hf
```

## Properties
calculated formation energy = 158 meV per atom
total moment = 0.00 μB per cell
excess energy over the best structure of this formula in the dataset = 10 meV/atom

Ho4Zn3Ag | PBE | relaxed

POSCAR file:
```
Ho4Zn3Ag
1.0
3.570 0.000 0.000
0.000 3.570 0.000
0.000 0.000 14.240
Ho Zn Ag
4 3 1
direct
0.000 0.000 0.123 Ho
0.000 0.000 0.370 Ho
0.000 0.000 0.630 Ho
0.000 0.000 0.877 Ho
0.500 0.500 0.000 Zn
0.500 0.500 0.245 Zn
0.500 0.500 0.755 Zn
0.500 0.500 0.500 Ag
```

## Properties
calculated formation energy = -344 meV per atom
total moment = 0.00 μB per cell
excess energy over the best structure of this formula in the dataset = 0 meV/atom

LaMnCdIn2 | PBE | relaxed

POSCAR file:
```
LaMnCdIn2
1.0
5.038 0.000 0.000
0.000 5.038 0.000
0.000 0.000 5.096
La Mn Cd In
1 1 1 2
direct
0.000 0.000 0.000 La
0.500 0.500 0.500 Mn
0.500 0.500 0.000 Cd
0.000 0.500 0.500 In
0.500 0.000 0.500 In
```

## Properties
calculated formation energy = -37 meV per atom
total moment = 1.97 μB per cell

CdFeAs2Cl | PBE | relaxed

POSCAR file:
```
CdFeAs2Cl
1.0
4.399 0.000 0.000
0.000 4.399 0.000
0.000 0.000 5.437
Cd Fe As Cl
1 1 2 1
direct
0.000 0.000 0.000 Cd
0.000 0.000 0.500 Fe
0.000 0.500 0.500 As
0.500 0.000 0.500 As
0.500 0.500 0.000 Cl
```

## Properties
total moment = 0.00 μB per cell

YFePt3 | PBE | relaxed

POSCAR file:
```
YFePt3
1.0
4.657 0.000 0.000
0.000 4.657 0.000
0.000 0.000 4.657
Y Fe Pt
1 1 3
direct
0.000 0.000 0.000 Y
0.500 0.500 0.500 Fe
0.000 0.500 0.500 Pt
0.500 0.000 0.500 Pt
0.500 0.500 0.000 Pt
```

## Properties
calculated formation energy = -113 meV per atom
total moment = 3.27 μB per cell
excess energy over the best structure of this formula in the dataset = 0 meV/atom

Ce3Sm2PuS6 | PBE | relaxed

POSCAR file:
```
Ce3Sm2PuS6
1.0
3.464 -6.003 0.000
3.464 6.003 0.000
-2.311 0.000 6.564
Ce Sm Pu S
3 2 1 6
direct
0.000 0.000 0.000 Ce
0.332 0.668 0.000 Ce
0.668 0.332 0.000 Ce
0.167 0.833 0.500 Sm
0.833 0.167 0.500 Sm
0.500 0.500 0.500 Pu
0.088 0.418 0.254 S
0.252 0.252 0.747 S
0.418 0.088 0.254 S
0.582 0.912 0.746 S
0.748 0.748 0.253 S
0.912 0.582 0.746 S
```

## Properties
total moment = 7.85 μB per cell

FeAs2Os | PBE | relaxed

POSCAR file:
```
FeAs2Os
1.0
3.032 0.000 0.000
0.000 3.987 0.000
0.000 0.000 5.056
Fe As Os
1 2 1
direct
0.000 0.000 0.000 Fe
0.000 0.500 0.500 As
0.500 0.500 0.000 As
0.500 0.000 0.500 Os
```

## Properties
calculated formation energy = 568 meV per atom
total moment = 2.23 μB per cell
excess energy over the best structure of this formula in the dataset = 458 meV/atom

Cd2ReBiTe | PBE | relaxed

POSCAR file:
```
Cd2ReBiTe
1.0
5.526 0.000 0.000
0.000 5.526 0.000
0.000 0.000 4.957
Cd Re Bi Te
2 1 1 1
direct
0.000 0.500 0.000 Cd
0.500 0.000 0.000 Cd
0.000 0.000 0.500 Re
0.500 0.500 0.500 Bi
0.000 0.000 0.000 Te
```

## Properties
total moment = 0.66 μB per cell

NdSmRh2 | PBE | relaxed

POSCAR file:
```
NdSmRh2
1.0
4.939 0.000 0.000
0.000 4.939 0.000
0.000 0.000 3.580
Nd Sm Rh
1 1 2
direct
0.000 0.000 0.000 Nd
0.500 0.500 0.000 Sm
0.000 0.500 0.500 Rh
0.500 0.000 0.500 Rh
```

## Properties
calculated formation energy = -674 meV per atom
total moment = 0.00 μB per cell

Ta2IrBr | PBE | relaxed

POSCAR file:
```
Ta2IrBr
1.0
3.098 0.000 0.000
0.000 3.098 0.000
0.000 0.000 7.966
Ta Ir Br
2 1 1
direct
0.000 0.000 0.000 Ta
0.500 0.500 0.271 Ta
0.500 0.500 0.819 Ir
0.000 0.000 0.484 Br
```

## Properties
total moment = 0.00 μB per cell
excess energy over the best structure of this formula in the dataset = 37 meV/atom

CeGe2PdRh | PBE | relaxed

POSCAR file:
```
CeGe2PdRh
1.0
4.195 0.000 0.000
0.000 4.195 0.000
0.000 0.000 10.521
Ce Ge Pd Rh
2 4 2 2
direct
0.000 0.000 0.000 Ce
0.500 0.500 0.500 Ce
0.000 0.000 0.382 Ge
0.000 0.000 0.618 Ge
0.500 0.500 0.118 Ge
0.500 0.500 0.882 Ge
0.000 0.500 0.750 Pd
0.500 0.000 0.250 Pd
0.000 0.500 0.250 Rh
0.500 0.000 0.750 Rh
```

## Properties
calculated formation energy = -780 meV per atom
total moment = 1.53 μB per cell

Sm2Y3Ho2 | PBE | relaxed

POSCAR file:
```
Sm2Y3Ho2
1.0
3.574 0.000 0.000
-1.779 5.917 0.000
-0.007 -1.082 10.675
Sm Y Ho
2 3 2
direct
0.215 0.430 0.356 Sm
0.785 0.570 0.644 Sm
0.358 0.716 0.929 Y
0.500 0.000 0.500 Y
0.642 0.284 0.071 Y
0.072 0.144 0.787 Ho
0.928 0.856 0.213 Ho
```

## Properties
calculated formation energy = 20 meV per atom
total moment = 0.00 μB per cell
excess energy over the best structure of this formula in the dataset = 0 meV/atom

CrRh2 | PBE | relaxed

POSCAR file:
```
CrRh2
1.0
9.768 0.000 0.000
0.000 2.683 0.000
-1.538 0.000 6.110
Cr Rh
4 8
direct
0.029 0.000 0.308 Cr
0.471 0.500 0.692 Cr
0.529 0.500 0.308 Cr
0.971 0.000 0.692 Cr
0.135 0.500 0.031 Rh
0.182 0.500 0.630 Rh
0.318 0.000 0.370 Rh
0.365 0.000 0.969 Rh
0.635 0.000 0.031 Rh
0.682 0.000 0.630 Rh
0.818 0.500 0.370 Rh
0.865 0.500 0.969 Rh
```

## Properties
calculated formation energy = -94 meV per atom
total moment = 0.00 μB per cell

| no. | E (eV per atom) |
| --- | --- |
| 1 | -5.3330 |
| 2 | -8.3250 |
| 3 | -4.5687 |
| 4 | -4.9457 |
| 5 | -5.3737 |
| 6 | -6.1414 |
| 7 | -5.7512 |
| 8 | -6.0335 |
| 9 | -4.0540 |
| 10 | -6.5532 |
| 11 | -9.0623 |
| 12 | -5.8082 |
| 13 | -3.4666 |
| 14 | -4.1343 |
| 15 | -4.1224 |
| 16 | -6.7230 |
| 17 | -7.5307 |
| 18 | -6.6800 |
| 19 | -2.9920 |
| 20 | -6.7218 |
| 21 | -8.4838 |
| 22 | -6.3230 |
| 23 | -5.4063 |
| 24 | -8.2032 |